1.
Compound: CaLa
Source: Alexandria via LeMat-Bulk
Functional: GGA-PBE
Structure: relaxed

Values from the calculation:
space-group type = I4_1/amd
volume = 39.3 A^3/atom
distance to the lowest polymorph of the same formula = 0.102 eV/atom

```
4
Lattice="-5.4369 -2.9065 1.8963 0.9260 -1.4395 6.2188 0.7586 5.6424 -3.0316" Properties=species:S:1:pos:R:3 pbc="T T T"
Ca 0.0000 0.0000 0.0000
La -2.2554 -2.1730 4.0576
La -3.4669 0.2815 1.4612
Ca -0.2854 1.0150 3.6224
```

---

2.
Compound: CaLa
Source: Alexandria via LeMat-Bulk
Functional: GGA-PBE
Structure: relaxed

Values from the calculation:
space-group type = Cm
volume = 39.0 A^3/atom
distance to the lowest polymorph of the same formula = 0.042 eV/atom

```
6
Lattice="7.3700 0.0074 0.0091 6.3991 3.6562 0.0091 2.1918 0.5832 8.7131" Properties=species:S:1:pos:R:3 pbc="T T T"
La 5.3876 1.4335 2.9637
Ca 2.2432 0.5969 8.7051
Ca 10.5569 2.8090 5.8265
La 14.1113 3.7547 5.3148
La 6.0583 1.6120 8.1929
Ca 9.0572 2.4099 2.4485
```

---

3.
Compound: CaLa
Source: Alexandria via LeMat-Bulk
Functional: GGA-PBE
Structure: relaxed

Values from the calculation:
space-group type = Pm-3n
volume = 80.2 A^3/atom
distance to the lowest polymorph of the same formula = 1.651 eV/atom

```
12
Lattice="9.8721 0.0000 0.0000 0.0000 9.8721 0.0000 0.0000 0.0000 9.8721" Properties=species:S:1:pos:R:3 pbc="T T T"
La 2.4680 4.9361 0.0000
Ca 0.0000 4.9361 2.4680
La 0.0000 2.4680 4.9361
Ca 0.0000 4.9361 7.4041
Ca 2.4680 0.0000 4.9361
La 7.4041 4.9361 0.0000
Ca 4.9361 7.4041 0.0000
Ca 7.4041 0.0000 4.9361
Ca 4.9361 2.4680 0.0000
La 4.9361 0.0000 2.4680
La 0.0000 7.4041 4.9361
La 4.9361 0.0000 7.4041
```

---

4.
Compound: CaLa
Source: Alexandria via LeMat-Bulk
Functional: GGA-PBE
Structure: relaxed

Values from the calculation:
space-group type = P-6m2
volume = 38.8 A^3/atom
distance to the lowest polymorph of the same formula = 0.047 eV/atom

```
2
Lattice="-0.3905 -1.3831 -3.4812 2.5289 -1.5038 2.3511 -4.3671 -4.0576 2.1020" Properties=species:S:1:pos:R:3 pbc="T T T"
La -0.6278 -3.4924 1.4580
Ca 0.0000 0.0000 0.0000
```

---

5.
Compound: Ca3La
Source: Alexandria via LeMat-Bulk
Functional: GGA-PBE
Structure: relaxed

Values from the calculation:
space-group type = C2
volume = 40.5 A^3/atom
distance to the lowest polymorph of the same formula = 0.063 eV/atom

```
4
Lattice="7.4442 0.0012 0.0334 3.4337 6.6138 -0.0210 -4.3956 -5.0215 3.2973" Properties=species:S:1:pos:R:3 pbc="T T T"
Ca 1.0107 -1.6918 3.2820
Ca 3.0438 -4.9814 3.3105
Ca 4.7700 -1.7231 2.2448
La 2.7654 1.5821 2.2168
```

---

6.
Compound: Ca2La
Source: Alexandria via LeMat-Bulk
Functional: GGA-PBE
Structure: relaxed

Values from the calculation:
space-group type = Immm
volume = 40.4 A^3/atom
distance to the lowest polymorph of the same formula = 0.060 eV/atom

```
3
Lattice="-2.1372 1.0302 6.1979 -6.5477 -0.1232 1.0749 5.4230 -3.2637 -1.9955" Properties=species:S:1:pos:R:3 pbc="T T T"
La 0.0000 0.0000 0.0000
Ca -2.9232 0.3053 2.4479
Ca -5.7617 0.6017 4.8249
```

---

7.
Compound: CaLa
Source: Alexandria via LeMat-Bulk
Functional: GGA-PBE
Structure: relaxed

Values from the calculation:
space-group type = P6_3/mmc
volume = 41.3 A^3/atom
distance to the lowest polymorph of the same formula = 0.239 eV/atom

```
8
Lattice="3.0216 -5.2336 0.0000 3.0216 5.2336 0.0000 0.0000 0.0000 10.4575" Properties=species:S:1:pos:R:3 pbc="T T T"
La 3.0216 -1.7445 6.1694
La 3.0216 -1.7445 9.5169
Ca 0.0000 0.0000 2.6144
La 3.0216 1.7445 4.2882
Ca 3.0216 -1.7445 2.6144
Ca 0.0000 0.0000 7.8431
La 3.0216 1.7445 0.9406
Ca 3.0216 1.7445 7.8431
```

---

8.
Compound: CaLa5
Source: Alexandria via LeMat-Bulk
Functional: GGA-PBE
Structure: relaxed

Values from the calculation:
space-group type = Cm
volume = 38.0 A^3/atom
distance to the lowest polymorph of the same formula = 0.023 eV/atom

```
6
Lattice="-6.7184 2.3336 -1.3364 -6.2810 -0.6831 -3.5286 -5.1659 -4.8039 5.5800" Properties=species:S:1:pos:R:3 pbc="T T T"
La -8.4237 -4.0929 3.9515
La -9.4569 -0.3378 -1.4220
La -12.1879 -2.0851 0.4376
La -6.0263 -1.0927 0.3012
Ca -18.1401 -3.1491 0.7141
La -15.3988 -1.3305 -1.2415
```

---

9.
Compound: Ca2La3
Source: Alexandria via LeMat-Bulk
Functional: GGA-PBE
Structure: relaxed

Values from the calculation:
space-group type = Fdd2
volume = 38.8 A^3/atom
distance to the lowest polymorph of the same formula = 0.091 eV/atom

```
10
Lattice="10.4988 -3.3122 -0.9677 6.9517 -4.1495 5.2445 1.7397 -5.4156 -4.4180" Properties=species:S:1:pos:R:3 pbc="T T T"
La 15.9305 -10.6113 0.4845
Ca 14.1958 -7.9393 2.4875
Ca 11.7804 -6.7829 -2.2670
La 8.1272 -7.0005 -1.1437
La 10.3801 -3.7229 -0.8499
La 10.7268 -7.0402 1.3364
Ca 4.5458 -6.4904 -2.1832
La 12.5186 -9.8681 -0.3624
Ca 7.8649 -4.5203 1.6742
La 4.6788 -3.6301 0.0826
```

---

10.
Compound: CaLa
Source: Alexandria via LeMat-Bulk
Functional: GGA-PBE
Structure: relaxed

Values from the calculation:
space-group type = C2/m
volume = 39.0 A^3/atom
distance to the lowest polymorph of the same formula = 0.042 eV/atom

```
4
Lattice="-6.4807 -2.0931 -2.1123 -5.9210 -3.7872 1.2008 -5.1902 3.4244 2.6278" Properties=species:S:1:pos:R:3 pbc="T T T"
Ca -14.0773 -1.3037 1.7117
La -5.1815 0.0492 0.9006
La -8.8775 -1.3205 0.8246
Ca -12.3834 -5.8480 -0.8980
```

---

11.
Compound: Ca5La4
Source: Alexandria via LeMat-Bulk
Functional: GGA-PBE
Structure: relaxed

Values from the calculation:
space-group type = P6_3/mcm
E_tot = -0.116 hartree per atom
volume = 39.7 A^3/atom

```
18
Lattice="-3.5215 6.9080 -7.1848 1.8251 -10.0372 -2.7687 -6.9561 -1.7430 1.7335" Properties=species:S:1:pos:R:3 pbc="T T T"
Ca -6.5006 1.2106 -1.3186
La -3.9241 -8.4182 -0.6614
La -2.7657 1.5782 -1.6613
La 0.0000 0.0000 0.0000
La -3.4780 -0.8715 0.8668
Ca -6.2952 -3.2959 -5.0255
La -2.9409 -2.6527 -6.6183
Ca -4.5519 -4.9656 0.2910
La -7.7119 3.5868 -3.7900
Ca -3.4352 -5.2603 -3.3740
La -5.7116 -2.2196 -1.6017
Ca 0.0429 -4.3888 -4.2407
Ca -5.2173 0.3881 -4.8460
Ca -1.7393 1.2596 -5.7128
La -1.2069 -3.3620 -0.3738
Ca -0.5792 -6.8146 -1.3262
Ca -3.9770 3.9544 -4.1327
Ca -2.3573 -1.5763 -3.1945
```

---

12.
Compound: CaLa
Source: Alexandria via LeMat-Bulk
Functional: GGA-PBE
Structure: relaxed

Values from the calculation:
space-group type = P4/nmm
volume = 39.5 A^3/atom
distance to the lowest polymorph of the same formula = 0.000 eV/atom

```
4
Lattice="-0.0419 0.6883 -3.7342 1.4327 -3.4556 -0.6530 -10.1547 -4.0892 -0.6398" Properties=species:S:1:pos:R:3 pbc="T T T"
Ca -0.9844 -1.2282 -1.1807
La -5.8620 -3.1924 -1.4881
Ca -7.7795 -5.6283 -3.8463
La -2.9019 -3.6641 -3.5390
```

---

> Which of these has the lowest volume?

CaLa5

---

> Which value of volume does entry 8 give?

38.0 A^3/atom